[1]
{"formula": "Ca2AlCoO5", "functional": "PBE with a Hubbard U", "state": "optimized geometry", "lattice_angstrom": [[1.5596, -6.1736, 0.0000], [1.5596, 6.1736, 0.0000], [0.0000, 0.0000, 10.6355]], "species": ["Ca", "Ca", "Ca", "Ca", "Al", "Al", "Co", "Co", "O", "O", "O", "O", "O", "O", "O", "O", "O", "O"], "frac_coords": [[0.0906, 0.9094, 0.5000], [0.1509, 0.8491, 0.1344], [0.8491, 0.1509, 0.6344], [0.9094, 0.0906, 0.0000], [0.2173, 0.7827, 0.8612], [0.7827, 0.2173, 0.3612], [0.4680, 0.5320, 0.2821], [0.5320, 0.4680, 0.7821], [0.0658, 0.9342, 0.8823], [0.2709, 0.7291, 0.4846], [0.3144, 0.6856, 0.2467], [0.3698, 0.6302, 0.8258], [0.4941, 0.5059, 0.6158], [0.5059, 0.4941, 0.1158], [0.6302, 0.3698, 0.3258], [0.6856, 0.3144, 0.7467], [0.7291, 0.2709, 0.9846], [0.9342, 0.0658, 0.3823]], "spacegroup": "Cmc2_1, No. 36", "total_magnetization_mub_per_atom": 0.222, "relative_energy_ev_per_atom": 0.097}

---

[2]
{"formula": "Ca3Al4CoO10", "functional": "PBE with a Hubbard U", "state": "optimized geometry", "lattice_angstrom": [[16.9472, 0.0000, 0.0000], [0.0000, 5.1824, 0.0000], [0.0000, 0.0000, 10.7941]], "species": ["Ca", "Ca", "Ca", "Ca", "Ca", "Ca", "Ca", "Ca", "Ca", "Ca", "Ca", "Ca", "Al", "Al", "Al", "Al", "Al", "Al", "Al", "Al", "Al", "Al", "Al", "Al", "Al", "Al", "Al", "Al", "Co", "Co", "Co", "Co", "O", "O", "O", "O", "O", "O", "O", "O", "O", "O", "O", "O", "O", "O", "O", "O", "O", "O", "O", "O", "O", "O", "O", "O", "O", "O", "O", "O", "O", "O", "O", "O", "O", "O", "O", "O", "O", "O", "O", "O"], "frac_coords": [[0.1069, 0.2094, 0.0000], [0.1102, 0.2102, 0.6476], [0.2093, 0.2319, 0.3398], [0.2907, 0.2319, 0.8398], [0.3898, 0.2102, 0.1476], [0.3931, 0.2094, 0.5000], [0.6069, 0.7906, 0.0000], [0.6102, 0.7898, 0.6476], [0.7093, 0.7681, 0.3398], [0.7907, 0.7681, 0.8398], [0.8898, 0.7898, 0.1476], [0.8931, 0.7906, 0.5000], [0.0304, 0.1335, 0.3245], [0.0756, 0.6331, 0.1781], [0.1642, 0.7642, 0.8277], [0.2482, 0.7046, 0.0783], [0.2518, 0.7046, 0.5783], [0.3358, 0.7642, 0.3277], [0.4244, 0.6331, 0.6781], [0.4696, 0.1335, 0.8245], [0.5304, 0.8665, 0.3245], [0.5756, 0.3669, 0.1781], [0.6642, 0.2358, 0.8277], [0.7482, 0.2954, 0.0783], [0.7518, 0.2954, 0.5783], [0.8358, 0.2358, 0.3277], [0.9244, 0.3669, 0.6781], [0.9696, 0.8665, 0.8245], [0.0791, 0.6453, 0.4758], [0.4209, 0.6453, 0.9758], [0.5791, 0.3547, 0.4758], [0.9209, 0.3547, 0.9758], [0.0054, 0.5090, 0.0745], [0.0581, 0.4634, 0.3175], [0.0714, 0.9302, 0.8280], [0.0711, 0.9728, 0.1911], [0.0857, 0.0152, 0.4522], [0.1656, 0.4279, 0.8281], [0.1699, 0.5104, 0.1368], [0.1815, 0.4858, 0.5188], [0.2119, 0.9119, 0.9585], [0.2135, 0.9072, 0.6981], [0.2865, 0.9072, 0.1981], [0.2881, 0.9119, 0.4585], [0.3185, 0.4858, 0.0188], [0.3301, 0.5104, 0.6368], [0.3344, 0.4279, 0.3281], [0.4143, 0.0152, 0.9522], [0.4286, 0.9302, 0.3280], [0.4289, 0.9728, 0.6911], [0.4419, 0.4634, 0.8175], [0.4946, 0.5090, 0.5745], [0.5054, 0.4910, 0.0745], [0.5581, 0.5366, 0.3175], [0.5711, 0.0272, 0.1911], [0.5714, 0.0698, 0.8280], [0.5857, 0.9848, 0.4522], [0.6656, 0.5721, 0.8281], [0.6699, 0.4896, 0.1368], [0.6815, 0.5142, 0.5188], [0.7119, 0.0881, 0.9585], [0.7135, 0.0928, 0.6981], [0.7865, 0.0928, 0.1981], [0.7881, 0.0881, 0.4585], [0.8185, 0.5142, 0.0188], [0.8301, 0.4896, 0.6368], [0.8344, 0.5721, 0.3281], [0.9143, 0.9848, 0.9522], [0.9289, 0.0272, 0.6911], [0.9286, 0.0698, 0.3280], [0.9419, 0.5366, 0.8175], [0.9946, 0.4910, 0.5745]], "spacegroup": "Pca2_1, No. 29", "total_magnetization_mub_per_atom": 0.167, "energy_ev_per_atom": -7.030}

---

[3]
{"formula": "Ca2AlCoO5", "functional": "PBE with a Hubbard U", "state": "optimized geometry", "lattice_angstrom": [[5.2673, 0.0000, 0.0000], [-0.1043, 5.5877, 0.0000], [-2.5802, -2.7689, 7.3913]], "species": ["Ca", "Ca", "Ca", "Ca", "Al", "Al", "Co", "Co", "O", "O", "O", "O", "O", "O", "O", "O", "O", "O"], "frac_coords": [[0.0000, 0.0000, 0.0000], [0.2167, 0.2852, 0.4407], [0.5029, 0.5655, 0.0003], [0.7231, 0.7218, 0.4427], [0.3936, 0.9695, 0.7237], [0.8929, 0.3169, 0.7179], [0.1007, 0.6439, 0.2223], [0.5994, 0.1436, 0.2219], [0.2184, 0.7179, 0.5230], [0.2308, 0.2513, 0.7211], [0.3393, 0.4020, 0.1943], [0.3599, 0.9160, 0.2465], [0.4304, 0.9357, 0.9335], [0.7210, 0.3495, 0.5081], [0.7301, 0.0323, 0.7203], [0.8430, 0.3638, 0.1957], [0.8656, 0.8924, 0.2486], [0.9161, 0.5666, 0.9176]], "spacegroup": "P1, No. 1", "total_magnetization_mub_per_atom": 0.332, "relative_energy_ev_per_atom": 0.000}

---

In the order shown, the computed mass density values come out to 3990, 3132, 3757 kg/m³.